(1)
Computed, not measured: crystalline La4BCl4 at its relaxed geometry at the PBE level of DFT.

abc: 4.1126 7.0698 9.3808
angles: 79.66 77.34 73.09
Sites, in units of the cell vectors:
1 La 0.3119 0.1059 0.2704
2 Cl 0.1056 0.1814 0.6073
3 La 0.0933 0.7356 0.0777
4 Cl 0.3198 0.5820 0.7783
5 Cl 0.6802 0.4180 0.2217
6 La 0.6881 0.8941 0.7296
7 B 0.5000 0.0000 0.0000
8 La 0.9067 0.2644 0.9223
9 Cl 0.8944 0.8186 0.3927

Values from the calculation:
VASP energy: -47.54 eV per cell
SG: C2/m, No. 12
Formation energy (no corrections): -13.77 eV/f.u.
Crystal system: monoclinic

(2)
Computed, not measured: crystalline LaB2Cl at its relaxed geometry at the PBE level of DFT.

abc: 4.6383 4.6383 4.6383
angles: 60.00 60.00 60.00
Sites, in units of the cell vectors:
1 Cl 0.0000 0.0000 0.0000
2 B 0.2500 0.2500 0.2500
3 La 0.5000 0.5000 0.5000
4 B 0.7500 0.7500 0.7500

Values from the calculation:
VASP energy: -16.05 eV per cell
SG: Fm-3m, No. 225
Formation energy (no corrections): 4.08 eV/f.u.
Crystal system: cubic
Energy above the lowest structure with this stoichiometry: 0 meV/atom

(3)
Computed, not measured: crystalline La4B4Cl5 at its relaxed geometry at the PBE level of DFT.

abc: 11.1392 11.1392 9.7470
angles: 51.66 51.66 22.13
Sites, in units of the cell vectors:
1 B 0.9977 0.9977 0.8999
2 La 0.4914 0.4914 0.7527
3 La 0.8542 0.8542 0.2139
4 B 0.3138 0.6862 0.0000
5 Cl 0.6807 0.6807 0.9361
6 Cl 0.0000 0.0000 0.5000
7 B 0.6862 0.3138 0.0000
8 B 0.0023 0.0023 0.1001
9 Cl 0.3193 0.3193 0.0639
10 La 0.5086 0.5086 0.2473
11 Cl 0.3284 0.3284 0.4662
12 La 0.1458 0.1458 0.7861
13 Cl 0.6716 0.6716 0.5338

Values from the calculation:
VASP energy: -75.62 eV per cell
SG: C2/m, No. 12
Formation energy (no corrections): -19.97 eV/f.u.
Crystal system: monoclinic

(4)
Computed, not measured: crystalline La3BCl3 at its relaxed geometry at the PBE level of DFT.

abc: 10.1236 10.1236 10.1236
angles: 109.47 109.47 109.47
Sites, in units of the cell vectors:
1 Cl 0.0048 0.5024 0.7524
2 Cl 0.2476 0.2500 0.7524
3 La 0.7632 0.7500 0.2368
4 Cl 0.0024 0.7524 0.5048
5 La 0.9868 0.7500 0.0132
6 La 0.7368 0.2632 0.7500
7 La 0.9868 0.2368 0.4737
8 La 0.2500 0.0132 0.4868
9 Cl 0.2476 0.9976 0.9952
10 B 0.7500 0.2500 0.2500
11 Cl 0.4976 0.9952 0.7476
12 B 0.7500 0.5000 0.0000
13 B 0.5000 0.2500 0.5000
14 La 0.9737 0.4868 0.2368
15 Cl 0.4952 0.7476 0.9976
16 Cl 0.2524 0.5048 0.5024
17 La 0.7632 0.0132 0.0263
18 La 0.5263 0.2632 0.0132
19 La 0.5132 0.0263 0.2632
20 Cl 0.2524 0.7476 0.2500
21 Cl 0.4976 0.5024 0.2500
22 Cl 0.7500 0.9976 0.5024
23 La 0.5132 0.4868 0.7500
24 B 0.0000 0.0000 0.2500
25 La 0.7368 0.4737 0.4868
26 La 0.2500 0.2368 0.2632
27 Cl 0.0024 0.2500 0.9976
28 Cl 0.7500 0.7524 0.7476

Values from the calculation:
VASP energy: -149.93 eV per cell
SG: I4_132, No. 214
Formation energy (no corrections): -10.48 eV/f.u.
Crystal system: cubic